The following is a DFT calculation (GGA-PBE) of NdHgI after structural relaxation.

Lattice parameters (Å, degrees): 5.341 5.341 3.644 90.00 90.00 60.01
Atoms (fractional coordinates):
Hg: 0.667 0.667 0.499
Nd: 0.000 0.000 0.000
I: 0.333 0.333 0.501

Properties
**Total energy**: -7.62 eV for the cell shown
**M_tot**: 0.0029 μB/atom
**Volume**: 30.01 Å³/atom
**Calculated density**: 8.70 Mg/m³